Fe2PdPbF | GGA+U | relaxed

Unit cell a=5.3477 b=4.4422 c=5.3477 alpha=90.00 beta=90.00 gamma=90.00
Last column: nearest neighbours and their distance in Å.
Element x y z (fractional)
F 0.0000 0.5000 0.0000  2 Pb 2.22
Pb 0.0000 0.0000 0.0000  2 F 2.22
Fe 0.5000 0.0000 0.0000  2 Pb 2.67
Fe 0.0000 0.0000 0.5000  2 Pb 2.67
Pd 0.5000 0.5000 0.5000  8 Fe 3.48, 4 F 3.78

Computed properties:
**DOS(E_F)**: 0.3420 states/eV/atom
**Electronic total energy**: -3.7745 eV per atom